11
Lattice="6.1885 0.0000 0.0000 -1.0255 6.1068 0.0000 -1.0456 -0.1818 9.4043" Properties=species:S:1:pos:R:3 comment="TbPr2Dy8 (PBE, optimized geometry)" dft_energy_ev_per_atom=-4.62 crystal_system=triclinic delta_e_f_ev_per_atom=0.02 m_tot_mub_per_cell=0.0 pbc="T T T"
Tb 0.0000 0.0000 0.0000
Pr 1.0216 4.3544 4.2693
Pr 3.0958 1.5706 5.1349
Dy -0.0163 1.0406 3.3945
Dy -0.0047 2.0767 6.8720
Dy 1.0318 3.3169 0.8452
Dy 1.0300 5.3925 7.7218
Dy 3.0873 0.5325 1.6825
Dy 3.0856 2.6081 8.5591
Dy 4.1220 3.8483 2.5322
Dy 4.1336 4.8844 6.0098

***

15
Lattice="-4.9094 4.9094 5.3094 4.9094 -4.9094 5.3094 4.9094 4.9094 -5.3094" Properties=species:S:1:pos:R:3 comment="Tb10Pr4Dy (PBE, optimized geometry)" dft_energy_ev_per_atom=-4.32 crystal_system=tetragonal delta_e_f_ev_per_atom=0.35 m_tot_mub_per_cell=0.0 pbc="T T T"
Tb 2.0531 -1.1167 1.7140
Tb 6.0260 -2.8563 3.5954
Tb 4.9094 0.0000 2.6547
Tb 7.7656 1.1167 1.7140
Tb 1.1167 2.0531 1.7140
Tb 3.7927 2.8563 3.5954
Tb -2.8563 3.7927 3.5954
Tb 0.0000 4.9094 2.6547
Tb -1.1167 7.7656 1.7140
Tb 2.8563 6.0260 3.5954
Pr 4.2708 1.6519 0.0000
Pr 3.2575 -0.6385 5.3094
Pr 1.6519 5.5479 0.0000
Pr 0.6385 3.2575 5.3094
Dy 0.0000 0.0000 5.3094

***

11
Lattice="3.5520 0.0000 0.0000 -0.0010 5.7184 0.0000 -1.7751 -2.8558 17.9813" Properties=species:S:1:pos:R:3 comment="Tb4Pr4Dy3 (PBE, optimized geometry)" dft_energy_ev_per_atom=-4.62 crystal_system=triclinic delta_e_f_ev_per_atom=0.06 m_tot_mub_per_cell=0.0 pbc="T T T"
Tb -0.0020 0.0033 1.6268
Tb -0.0006 2.8615 6.4973
Tb 1.7765 0.0011 11.4840
Tb 1.7780 2.8593 16.3545
Pr -0.0010 2.8626 3.2538
Pr 0.0006 0.0027 8.3201
Pr 1.7754 2.8599 9.6612
Pr 1.7770 0.0001 14.7275
Dy 0.0009 2.8585 13.1106
Dy 1.7755 2.8592 0.0000
Dy 1.7751 0.0041 4.8707

***

16
Lattice="11.3749 0.0000 0.0000 0.0000 7.2930 0.0000 0.0000 0.0000 6.2978" Properties=species:S:1:pos:R:3 comment="Tb3PrDy4 (PBE, optimized geometry)" dft_energy_ev_per_atom=-4.62 crystal_system=orthorhombic delta_e_f_ev_per_atom=0.02 m_tot_mub_per_cell=0.0 pbc="T T T"
Tb 0.0000 0.9220 0.0000
Tb 2.8433 0.9240 2.1037
Tb 2.8441 6.3690 5.2526
Tb 5.6874 6.3710 3.1489
Tb 8.5315 0.9240 2.1037
Tb 8.5308 6.3690 5.2526
Pr 0.0000 6.3745 3.1504
Pr 5.6874 0.9185 0.0015
Dy 0.0000 2.7451 3.1520
Dy 0.0000 4.5464 0.0101
Dy 2.8238 2.7461 5.2522
Dy 2.8636 4.5469 2.1033
Dy 5.6874 2.7467 3.1590
Dy 5.6874 4.5479 0.0031
Dy 8.5113 4.5469 2.1033
Dy 8.5510 2.7461 5.2522

***

13
Lattice="-3.3379 5.5723 5.7981 3.3379 -5.5723 5.7981 3.3379 5.5723 -5.7981" Properties=species:S:1:pos:R:3 comment="Tb5PrDy7 (PBE, optimized geometry)" dft_energy_ev_per_atom=-4.38 crystal_system=orthorhombic delta_e_f_ev_per_atom=0.25 m_tot_mub_per_cell=0.0 pbc="T T T"
Tb 0.0000 0.0000 0.0000
Tb 1.7756 2.5633 0.0373
Tb 4.9002 2.5633 0.0373
Tb -1.5623 3.0090 5.8354
Tb 1.5623 3.0090 5.8354
Pr 3.3379 0.0000 2.3716
Dy 3.3379 3.6918 -2.8462
Dy 0.0000 1.8805 2.9519
Dy 0.0000 0.0000 5.8620
Dy 0.0000 5.5723 0.0820
Dy 3.3379 3.6879 2.9354
Dy 0.0000 5.5723 3.6071
Dy 0.0000 1.8844 8.7335

***

20
Lattice="5.4108 -7.4625 0.0000 5.4108 7.4625 0.0000 -5.4107 0.0000 8.5594" Properties=species:S:1:pos:R:3 comment="Tb2Pr5Dy3 (PBE, optimized geometry)" dft_energy_ev_per_atom=-4.52 crystal_system=monoclinic delta_e_f_ev_per_atom=0.17 m_tot_mub_per_cell=0.0 pbc="T T T"
Tb 1.3584 1.8127 0.5031
Tb -1.3470 -1.8127 4.7829
Tb 6.7579 1.8127 3.7766
Tb 4.0525 -1.8127 8.0563
Pr -1.3588 1.8010 6.3791
Pr 1.3528 4.0594 6.4196
Pr 4.0582 3.4573 2.1399
Pr 1.3466 -1.8010 2.0994
Pr 4.0582 0.3250 2.1399
Pr 1.3528 -0.3250 6.4196
Pr 4.0644 1.8010 6.4600
Pr 1.3528 -3.4573 6.4196
Pr 4.0582 -4.0594 2.1399
Pr 6.7698 -1.8010 2.1803
Dy 1.3528 7.1423 6.4196
Dy 1.3512 1.8591 3.7880
Dy -1.3542 -1.8591 8.0677
Dy 6.7651 1.8591 0.4917
Dy 4.0597 -1.8591 4.7715
Dy 4.0582 -7.1423 2.1399

***

8
Lattice="5.0346 -3.4294 0.0000 5.0346 3.4294 0.0000 -2.0311 0.0000 8.2390" Properties=species:S:1:pos:R:3 comment="Tb6PrDy (PBE, optimized geometry)" dft_energy_ev_per_atom=-4.28 crystal_system=monoclinic delta_e_f_ev_per_atom=0.37 m_tot_mub_per_cell=0.0 pbc="T T T"
Tb 2.6600 1.8020 1.6285
Tb 0.4189 0.0000 3.4849
Tb 5.3782 1.8020 6.6105
Tb 2.6600 -1.8020 1.6285
Tb 7.6192 0.0000 4.7541
Tb 5.3782 -1.8020 6.6105
Pr 4.0191 0.0000 4.1195
Dy 5.0346 0.0000 0.0000

***

4
Lattice="5.0796 0.0000 0.0000 0.0000 5.0796 0.0000 0.0000 0.0000 5.0860" Properties=species:S:1:pos:R:3 comment="Tb2PrDy (PBE, optimized geometry)" dft_energy_ev_per_atom=-4.64 crystal_system=tetragonal delta_e_f_ev_per_atom=0.02 m_tot_mub_per_cell=0.0 pbc="T T T"
Tb 0.0000 2.5398 0.0000
Tb 2.5398 0.0000 0.0000
Pr 0.0000 0.0000 2.5430
Dy 2.5398 2.5398 2.5430

***

20
Lattice="5.0833 0.0000 0.0000 0.0000 5.0833 0.0000 0.0000 0.0000 25.3293" Properties=species:S:1:pos:R:3 comment="Tb15Pr4Dy (PBE, optimized geometry)" dft_energy_ev_per_atom=-4.64 crystal_system=tetragonal delta_e_f_ev_per_atom=0.02 m_tot_mub_per_cell=0.0 pbc="T T T"
Tb 0.0000 0.0000 0.0000
Tb 0.0000 0.0000 5.0326
Tb 0.0000 0.0000 10.1250
Tb 0.0000 0.0000 15.2043
Tb 0.0000 0.0000 20.2967
Tb 0.0000 2.5416 2.4914
Tb 0.0000 2.5416 7.5810
Tb 0.0000 2.5416 12.6646
Tb 0.0000 2.5416 17.7483
Tb 0.0000 2.5416 22.8379
Tb 2.5416 0.0000 2.4914
Tb 2.5416 0.0000 7.5810
Tb 2.5416 0.0000 12.6646
Tb 2.5416 0.0000 17.7483
Tb 2.5416 0.0000 22.8379
Pr 2.5416 2.5416 5.0461
Pr 2.5416 2.5416 10.1219
Pr 2.5416 2.5416 15.2074
Pr 2.5416 2.5416 20.2832
Dy 2.5416 2.5416 0.0000

***

12
Lattice="6.3849 0.0000 0.0000 -0.0038 7.3493 0.0000 -2.1240 -0.0088 8.8328" Properties=species:S:1:pos:R:3 comment="Tb4Pr7Dy (PBE, optimized geometry)" dft_energy_ev_per_atom=-4.70 crystal_system=triclinic delta_e_f_ev_per_atom=0.01 m_tot_mub_per_cell=0.0 pbc="T T T"
Tb 1.0477 7.3461 1.4594
Tb 0.0038 1.8145 7.3465
Tb 4.2533 5.5260 1.4863
Tb 3.2094 -0.0056 7.3734
Pr -1.0620 -0.0044 4.4164
Pr 1.0574 3.6731 1.4681
Pr 0.0150 5.5118 7.3691
Pr 2.1235 1.8185 4.4325
Pr 2.1336 5.5220 4.4003
Pr 4.2421 1.8287 1.4637
Pr 3.1998 3.6674 7.3647
Dy -1.0639 3.6703 4.4164

***

7
Lattice="8.3608 -1.7703 0.0000 8.3608 1.7703 0.0000 -4.3097 0.0000 7.6531" Properties=species:S:1:pos:R:3 comment="Tb2PrDy4 (PBE, optimized geometry)" dft_energy_ev_per_atom=-4.60 crystal_system=monoclinic delta_e_f_ev_per_atom=0.03 m_tot_mub_per_cell=0.0 pbc="T T T"
Tb -0.6801 0.0000 3.2904
Tb 13.0922 0.0000 4.3627
Pr 0.0000 0.0000 0.0000
Dy 1.8764 0.0000 5.3995
Dy 5.2655 0.0000 1.2574
Dy 7.1465 0.0000 6.3957
Dy 10.5356 0.0000 2.2535

***

30
Lattice="6.6266 0.0000 0.0000 0.0000 6.6266 0.0000 0.0000 0.0000 25.7403" Properties=species:S:1:pos:R:3 comment="Tb2Pr12Dy (PBE, optimized geometry)" dft_energy_ev_per_atom=-4.43 crystal_system=tetragonal delta_e_f_ev_per_atom=0.32 m_tot_mub_per_cell=0.0 pbc="T T T"
Tb 1.6566 4.9699 5.8891
Tb 1.6566 4.9699 19.8512
Tb 4.9699 1.6566 5.8891
Tb 4.9699 1.6566 19.8512
Pr 0.4421 3.7554 9.9575
Pr 0.4421 6.1845 15.7828
Pr 0.5417 3.8550 1.6104
Pr 0.5417 6.0849 24.1298
Pr 1.6566 1.6566 4.2014
Pr 1.6566 1.6566 7.3507
Pr 1.6566 1.6566 18.3896
Pr 1.6566 1.6566 21.5389
Pr 2.7716 3.8550 24.1298
Pr 2.7716 6.0849 1.6104
Pr 2.8712 3.7554 15.7828
Pr 2.8712 6.1845 9.9575
Pr 3.7554 0.4421 15.7828
Pr 3.7554 2.8712 9.9575
Pr 3.8550 0.5417 24.1298
Pr 3.8550 2.7716 1.6104
Pr 4.9699 4.9699 4.2014
Pr 4.9699 4.9699 7.3507
Pr 4.9699 4.9699 18.3896
Pr 4.9699 4.9699 21.5389
Pr 6.0849 0.5417 1.6104
Pr 6.0849 2.7716 24.1298
Pr 6.1845 0.4421 9.9575
Pr 6.1845 2.8712 15.7828
Dy 1.6566 4.9699 12.8701
Dy 4.9699 1.6566 12.8701

***

15
Lattice="6.9760 -6.1408 0.0000 6.9760 6.1408 0.0000 -3.3155 0.0000 6.0897" Properties=species:S:1:pos:R:3 comment="Tb3Pr8Dy4 (PBE, optimized geometry)" dft_energy_ev_per_atom=-4.38 crystal_system=monoclinic delta_e_f_ev_per_atom=0.32 m_tot_mub_per_cell=0.0 pbc="T T T"
Tb 0.0000 0.0000 0.0000
Tb 1.8302 3.0704 3.0448
Tb 1.8302 -3.0704 3.0448
Pr 0.5935 0.0000 4.1561
Pr 5.3182 3.6190 3.0448
Pr 6.9760 3.0227 0.0000
Pr 2.8223 0.0000 1.3493
Pr 7.8142 0.0000 4.7404
Pr 6.9760 -3.0227 0.0000
Pr 5.3182 -3.6190 3.0448
Pr 10.0430 0.0000 1.9335
Dy 3.4880 3.0704 0.0000
Dy 3.4880 -3.0704 0.0000
Dy 6.9760 0.0000 0.0000
Dy 5.3182 0.0000 3.0448

***

20
Lattice="7.6780 4.4329 3.4136 -7.6780 4.4329 3.4136 0.0000 -8.8657 3.4136" Properties=species:S:1:pos:R:3 comment="Tb7Pr12Dy (PBE, optimized geometry)" dft_energy_ev_per_atom=-4.58 crystal_system=trigonal delta_e_f_ev_per_atom=0.14 m_tot_mub_per_cell=0.0 pbc="T T T"
Tb 0.0000 0.0000 0.0000
Tb -2.3909 -2.3678 4.3664
Tb -3.2460 0.8867 5.8743
Tb -0.8551 3.2545 4.3664
Tb 0.8551 -3.2545 5.8743
Tb 3.2460 -0.8867 4.3664
Tb 2.3909 2.3678 5.8743
Pr -2.7061 0.5735 2.5469
Pr -1.2180 -5.5591 4.1832
Pr -5.4233 -1.7247 6.0576
Pr 0.8564 -2.6303 2.5469
Pr -4.2053 3.8344 4.1832
Pr 1.8497 2.0568 2.5469
Pr -1.8497 -2.0568 7.6939
Pr 4.2053 -3.8344 6.0576
Pr -0.8564 2.6303 7.6939
Pr 5.4233 1.7247 4.1832
Pr 1.2180 5.5591 6.0576
Pr 2.7061 -0.5734 7.6939
Dy 0.0000 0.0000 5.1204

***

12
Lattice="7.0958 0.0000 0.0000 0.0000 9.8488 0.0000 0.0000 0.0000 5.6890" Properties=species:S:1:pos:R:3 comment="Tb3Pr2Dy (PBE, optimized geometry)" dft_energy_ev_per_atom=-4.61 crystal_system=orthorhombic delta_e_f_ev_per_atom=0.06 m_tot_mub_per_cell=0.0 pbc="T T T"
Tb 0.0000 0.0000 0.0000
Tb 1.7741 1.6423 2.8445
Tb 1.7737 6.5667 0.0000
Tb 3.5479 4.9244 2.8445
Tb 5.3220 3.2821 0.0000
Tb 5.3216 8.2065 2.8445
Pr 1.7723 3.2800 0.0000
Pr 1.7756 8.2044 2.8445
Pr 5.3201 1.6444 2.8445
Pr 5.3235 6.5688 0.0000
Dy 0.0000 4.9244 2.8445
Dy 3.5479 0.0000 0.0000

***

26
Lattice="11.7425 0.0000 0.0000 0.0000 20.2977 0.0000 0.0000 0.0000 3.5998" Properties=species:S:1:pos:R:3 comment="Tb6Pr2Dy5 (PBE, optimized geometry)" dft_energy_ev_per_atom=-4.54 crystal_system=orthorhombic delta_e_f_ev_per_atom=0.10 m_tot_mub_per_cell=0.0 pbc="T T T"
Tb 0.6953 1.5690 0.0000
Tb 0.9198 7.4130 0.0000
Tb 2.1002 12.7109 1.7999
Tb 3.7711 2.5621 1.7999
Tb 4.9514 17.5618 0.0000
Tb 5.1760 11.7178 0.0000
Tb 6.5666 8.5798 0.0000
Tb 6.7911 2.7359 0.0000
Tb 7.9714 17.7356 1.7999
Tb 9.6424 7.5867 1.7999
Tb 10.8227 12.8847 0.0000
Tb 11.0472 18.7287 0.0000
Pr 1.9739 15.9025 0.0000
Pr 3.8973 5.7536 0.0000
Pr 7.8452 14.5440 0.0000
Pr 9.7686 4.3952 0.0000
Dy 0.0000 10.1488 1.7999
Dy 1.0861 4.4948 1.7999
Dy 2.3458 19.2360 1.7999
Dy 3.5255 9.0872 1.7999
Dy 4.7852 14.6436 1.7999
Dy 5.8713 0.0000 1.7999
Dy 6.9573 5.6540 1.7999
Dy 8.2171 11.2105 1.7999
Dy 9.3967 1.0617 1.7999
Dy 10.6565 15.8029 1.7999

***

14
Lattice="8.6664 -4.4233 0.0000 8.6664 4.4233 0.0000 -1.5550 0.0000 6.3417" Properties=species:S:1:pos:R:3 comment="Tb9Pr2Dy3 (PBE, optimized geometry)" dft_energy_ev_per_atom=-4.31 crystal_system=monoclinic delta_e_f_ev_per_atom=0.34 m_tot_mub_per_cell=0.0 pbc="T T T"
Tb 0.0000 0.0000 0.0000
Tb 5.5557 2.9175 1.0879
Tb 4.7892 2.0910 4.3895
Tb 10.2222 2.9175 5.2539
Tb 10.9887 2.0910 1.9523
Tb 4.7892 -2.0910 4.3895
Tb 5.5557 -2.9175 1.0879
Tb 10.9887 -2.0910 1.9523
Tb 10.2222 -2.9175 5.2539
Pr 7.8889 1.7199 3.1709
Pr 7.8889 -1.7199 3.1709
Dy 4.9394 0.0000 1.5742
Dy 8.6664 0.0000 0.0000
Dy 10.8385 0.0000 4.7676

***

18
Lattice="7.7160 -5.6956 0.0000 7.7160 5.6956 0.0000 -6.5148 0.0000 7.6459" Properties=species:S:1:pos:R:3 comment="TbPr3Dy5 (PBE, optimized geometry)" dft_energy_ev_per_atom=-4.15 crystal_system=monoclinic delta_e_f_ev_per_atom=0.52 m_tot_mub_per_cell=0.0 pbc="T T T"
Tb 1.2019 0.0000 3.0609
Tb 7.7152 0.0000 4.5851
Pr 0.0000 0.0000 0.0000
Pr -1.9946 0.0000 2.7633
Pr 6.3527 0.0000 1.4572
Pr 4.4586 0.0000 3.8230
Pr 2.5644 0.0000 6.1887
Pr 10.9118 0.0000 4.8827
Dy 3.6512 2.8477 1.8942
Dy 3.1888 0.0000 0.2896
Dy 7.7160 2.7706 0.0000
Dy -0.7015 0.0000 5.9242
Dy 5.2659 2.8477 5.7517
Dy 3.6512 -2.8477 1.8942
Dy 9.6187 0.0000 1.7217
Dy 7.7160 -2.7706 0.0000
Dy 5.7284 0.0000 7.3563
Dy 5.2659 -2.8477 5.7517